{
  "formula": "CuNiS2",
  "functional": "PBE",
  "state": "optimized geometry",
  "dos_ef_per_ev_cell": 5.3,
  "e_tot_ev_per_cell": -75.85,
  "crystal_system": "monoclinic",
  "lattice": [[-9.642, -3.133, 9.960], [2.099, -2.267, 1.318], [2.669, 3.925, 2.502]],
  "species": ["S", "S", "S", "S", "S", "S", "S", "S", "Ni", "Ni", "Ni", "Ni", "Cu", "Cu", "Cu", "Cu"],
  "fractional_positions": [[0.323, 0.221, 0.601], [0.177, 0.721, 0.899], [0.677, 0.779, 0.399], [0.823, 0.279, 0.101], [0.542, 0.778, 0.762], [0.458, 0.222, 0.238], [0.042, 0.722, 0.262], [0.958, 0.278, 0.738], [0.401, 0.718, 0.443], [0.599, 0.282, 0.557], [0.099, 0.218, 0.057], [0.901, 0.782, 0.943], [0.825, 0.039, 0.507], [0.175, 0.961, 0.493], [0.675, 0.539, 0.993], [0.325, 0.461, 0.007]]
}